a | La4TcRh | PBE | optimized geometry

extended XYZ file:
```
6
Lattice="0.0000 4.3165 4.3165 4.3165 0.0000 4.3165 4.3165 4.3165 0.0000" Properties=species:S:1:pos:R:3 pbc="T T T"
La 1.0803 1.0803 1.0803
La 3.2362 3.2362 1.0803
La 3.2362 1.0803 3.2362
La 1.0803 3.2362 3.2362
Tc 4.3165 4.3165 4.3165
Rh 6.4747 6.4747 6.4747
```

Magnetization = 0.59 μB/cell

=====

b | La4TcRh | PBE | optimized geometry

extended XYZ file:
```
12
Lattice="4.6784 -6.8617 0.0000 4.6784 6.8617 0.0000 -3.7935 0.0000 5.3680" Properties=species:S:1:pos:R:3 pbc="T T T"
La 0.0258 4.4882 4.8300
La 0.0285 0.9217 3.9413
La 3.6408 4.4882 3.2220
La 1.9252 -0.9217 1.2573
La 3.6380 0.9217 4.1108
La 1.9225 -4.4882 2.1460
La 5.5348 -0.9217 1.4267
La 5.5375 -4.4882 0.5380
Tc 3.7300 6.8460 1.3420
Tc 1.8333 -6.8460 4.0260
Rh 3.7300 1.9203 1.3420
Rh 1.8333 -1.9203 4.0260
```

Magnetization = 0.00 μB/cell

=====

Name the most stable of them. b.

=====

a | LaTe2Rh | PBE | optimized geometry

extended XYZ file:
```
8
Lattice="4.1200 0.0000 0.0000 0.0000 5.6902 0.0000 0.0000 0.0000 9.1646" Properties=species:S:1:pos:R:3 pbc="T T T"
La 0.0000 0.0000 0.0000
La 2.0600 2.8451 4.5823
Te 0.0000 2.8451 1.6841
Te 0.0000 2.8451 7.4805
Te 2.0600 0.0000 2.8982
Te 2.0600 0.0000 6.2664
Rh 0.0000 0.0000 4.5823
Rh 2.0600 2.8451 0.0000
```

Magnetization = 0.00 μB/cell

=====

b | LaTe2Rh | PBE | optimized geometry

extended XYZ file:
```
8
Lattice="6.1967 0.0000 0.0000 0.0000 6.1967 0.0000 0.0000 0.0000 5.9150" Properties=species:S:1:pos:R:3 pbc="T T T"
La 0.0000 0.0000 0.0000
La 3.0983 3.0983 2.9575
Te 0.0000 3.0983 0.0000
Te 0.0000 3.0983 2.9575
Te 3.0983 0.0000 0.0000
Te 3.0983 0.0000 2.9575
Rh 0.0000 0.0000 2.9575
Rh 3.0983 3.0983 0.0000
```

Magnetization = 0.00 μB/cell

=====

Name the most stable of them. a.

=====

a | LaTe2Rh | PBE | optimized geometry

extended XYZ file:
```
12
Lattice="4.0061 0.0000 0.0000 -2.0031 3.4694 0.0000 0.0000 0.0000 27.2805" Properties=species:S:1:pos:R:3 pbc="T T T"
La 0.0000 0.0000 0.0000
La 0.0000 2.3129 18.1870
La 2.0031 1.1565 9.0935
Te 0.0000 0.0000 3.1843
Te 0.0000 0.0000 24.0962
Te 0.0000 2.3129 15.0027
Te 0.0000 2.3129 21.3713
Te 2.0031 1.1565 5.9092
Te 2.0031 1.1565 12.2778
Rh 0.0000 0.0000 13.6403
Rh 0.0000 2.3129 4.5468
Rh 2.0031 1.1565 22.7338
```

Magnetization = 0.00 μB/cell

=====

b | LaTe2Rh | PBE | optimized geometry

extended XYZ file:
```
4
Lattice="5.0400 0.0000 0.0000 0.0000 5.0400 0.0000 0.0000 0.0000 3.8922" Properties=species:S:1:pos:R:3 pbc="T T T"
La 0.0000 0.0000 0.0000
Te 0.0000 2.5200 1.9461
Te 2.5200 0.0000 1.9461
Rh 2.5200 2.5200 0.0000
```

Magnetization = 0.00 μB/cell

=====

c | LaTe2Rh | PBE | optimized geometry

extended XYZ file:
```
4
Lattice="4.5837 0.0000 0.0000 0.0000 4.7109 0.0000 -1.7601 0.0000 5.3812" Properties=species:S:1:pos:R:3 pbc="T T T"
La 0.0000 0.0000 0.0000
Te 0.3708 2.3555 4.4785
Te 2.3679 0.0000 2.2349
Rh 1.3826 2.3555 1.9178
```

Magnetization = 0.00 μB/cell

=====

d | LaTe2Rh | PBE | optimized geometry

extended XYZ file:
```
12
Lattice="4.4800 0.0000 0.0000 -2.2400 3.8798 0.0000 0.0000 0.0000 18.4427" Properties=species:S:1:pos:R:3 pbc="T T T"
La 0.0000 0.0000 0.0000
La 0.0000 2.5865 12.2951
La 2.2400 1.2933 6.1476
Te 0.0000 0.0000 4.2871
Te 0.0000 0.0000 14.1556
Te 0.0000 2.5865 8.0081
Te 0.0000 2.5865 16.5822
Te 2.2400 1.2933 1.8605
Te 2.2400 1.2933 10.4346
Rh 0.0000 0.0000 9.2214
Rh 0.0000 2.5865 3.0738
Rh 2.2400 1.2933 15.3689
```

Magnetization = 1.80 μB/cell

=====

Name the most stable of them. c.

=====

a | LaTe2Rh | PBE | optimized geometry

extended XYZ file:
```
16
Lattice="6.6441 0.0000 0.0000 0.0000 6.6441 0.0000 0.0000 0.0000 12.7691" Properties=species:S:1:pos:R:3 pbc="T T T"
La 0.0000 0.0000 0.0000
La 0.0000 3.3221 3.1923
La 3.3221 0.0000 9.5768
La 3.3221 3.3221 6.3846
Te 1.2099 1.6610 7.9807
Te 1.6610 4.5319 11.1730
Te 1.6610 5.4342 4.7884
Te 2.1122 1.6610 1.5961
Te 4.5319 4.9831 1.5961
Te 4.9831 1.2099 4.7884
Te 4.9831 2.1122 11.1730
Te 5.4342 4.9831 7.9807
Rh 0.0000 0.0000 6.3846
Rh 0.0000 3.3221 9.5768
Rh 3.3221 0.0000 3.1923
Rh 3.3221 3.3221 0.0000
```

Magnetization = 0.00 μB/cell

=====

b | LaTe2Rh | PBE | optimized geometry

extended XYZ file:
```
16
Lattice="7.3763 0.0000 0.0000 0.0000 7.3763 0.0000 0.0000 0.0000 7.3763" Properties=species:S:1:pos:R:3 pbc="T T T"
La 0.0000 0.0000 0.0000
La 0.0000 3.6881 3.6881
La 3.6881 0.0000 3.6881
La 3.6881 3.6881 0.0000
Te 1.8441 1.8441 1.8441
Te 1.8441 1.8441 5.5322
Te 1.8441 5.5322 1.8441
Te 1.8441 5.5322 5.5322
Te 5.5322 1.8441 1.8441
Te 5.5322 1.8441 5.5322
Te 5.5322 5.5322 1.8441
Te 5.5322 5.5322 5.5322
Rh 0.0000 0.0000 3.6881
Rh 0.0000 3.6881 0.0000
Rh 3.6881 0.0000 0.0000
Rh 3.6881 3.6881 3.6881
```

Magnetization = 0.00 μB/cell

=====

c | LaTe2Rh | PBE | optimized geometry

extended XYZ file:
```
8
Lattice="4.3734 0.0000 0.0000 0.0000 6.5308 0.0000 0.0000 0.0000 7.4812" Properties=species:S:1:pos:R:3 pbc="T T T"
La 0.0000 0.0000 0.0000
La 2.1867 3.2654 0.0000
Te 0.0000 3.2654 2.1644
Te 0.0000 3.2654 5.3168
Te 2.1867 0.0000 2.1644
Te 2.1867 0.0000 5.3168
Rh 0.0000 0.0000 3.7406
Rh 2.1867 3.2654 3.7406
```

Magnetization = 0.00 μB/cell

=====

Name the most stable of them. b.

=====

a | LaThRh | PBE | optimized geometry

extended XYZ file:
```
3
Lattice="4.6387 0.0000 0.0000 -2.3194 4.0172 0.0000 0.0000 0.0000 4.6208" Properties=species:S:1:pos:R:3 pbc="T T T"
La 0.0000 0.0000 0.0000
Th 2.3194 1.3391 2.4397
Rh 0.0000 2.6782 1.9104
```

Magnetization = 0.00 μB/cell

=====

b | LaThRh | PBE | optimized geometry

extended XYZ file:
```
12
Lattice="7.0451 0.0000 0.0000 0.0000 7.0451 0.0000 0.0000 0.0000 7.0451" Properties=species:S:1:pos:R:3 pbc="T T T"
La 0.0000 0.0000 0.0000
La 0.0000 3.5225 3.5225
La 3.5225 0.0000 3.5225
La 3.5225 3.5225 0.0000
Th 0.0000 0.0000 3.5225
Th 0.0000 3.5225 0.0000
Th 3.5225 0.0000 0.0000
Th 3.5225 3.5225 3.5225
Rh 1.7613 1.7613 1.7613
Rh 1.7613 5.2838 5.2838
Rh 5.2838 1.7613 5.2838
Rh 5.2838 5.2838 1.7613
```

Magnetization = 0.00 μB/cell

=====

c | LaThRh | PBE | optimized geometry

extended XYZ file:
```
12
Lattice="7.1226 0.0000 0.0000 0.0000 6.2588 0.0000 -6.0885 0.0000 7.9734" Properties=species:S:1:pos:R:3 pbc="T T T"
La -0.9314 0.7797 3.0994
La -3.9757 2.3497 7.0861
La 5.0098 3.9091 0.8873
La 1.9656 5.4791 4.8739
Th -1.4727 3.9556 4.9931
Th 1.5715 5.4326 1.0065
Th -0.5374 0.8262 6.9669
Th 2.5068 2.3032 2.9802
Rh 0.1474 3.8743 2.7251
Rh -2.8969 5.5139 6.7118
Rh 3.9310 0.7449 1.2616
Rh 0.8867 2.3845 5.2483
```

Magnetization = 0.00 μB/cell

=====

d | LaThRh | PBE | optimized geometry

extended XYZ file:
```
6
Lattice="3.6816 0.0000 0.0000 0.0000 3.6816 0.0000 0.0000 0.0000 11.6259" Properties=species:S:1:pos:R:3 pbc="T T T"
La 0.0000 0.0000 0.0000
La 1.8408 1.8408 5.8129
Th 0.0000 0.0000 3.4344
Th 1.8408 1.8408 9.2474
Rh 0.0000 0.0000 7.9450
Rh 1.8408 1.8408 2.1321
```

Magnetization = 0.00 μB/cell

=====

Name the most stable of them. d.

=====

a | LaTi2Rh2 | PBE | optimized geometry

extended XYZ file:
```
10
Lattice="7.8240 0.0000 0.0000 0.0000 7.8240 0.0000 0.0000 0.0000 2.9276" Properties=species:S:1:pos:R:3 pbc="T T T"
La 0.0000 0.0000 0.0000
La 3.9120 3.9120 0.0000
Ti 1.1087 2.8033 0.0000
Ti 2.8033 6.7153 0.0000
Ti 5.0207 1.1087 0.0000
Ti 6.7153 5.0207 0.0000
Rh 1.1295 5.0415 1.4638
Rh 2.7825 1.1295 1.4638
Rh 5.0415 6.6945 1.4638
Rh 6.6945 2.7825 1.4638
```

Magnetization = 0.00 μB/cell

=====

b | LaTi2Rh2 | PBE | optimized geometry

extended XYZ file:
```
10
Lattice="7.8080 0.0000 0.0000 0.0000 7.8080 0.0000 0.0000 0.0000 3.0508" Properties=species:S:1:pos:R:3 pbc="T T T"
La 0.0000 0.0000 0.0000
La 3.9040 3.9040 0.0000
Ti 1.1238 2.7802 1.5254
Ti 2.7802 6.6842 1.5254
Ti 5.0277 1.1238 1.5254
Ti 6.6842 5.0277 1.5254
Rh 1.0788 4.9828 0.0000
Rh 2.8252 1.0788 0.0000
Rh 4.9828 6.7292 0.0000
Rh 6.7292 2.8252 0.0000
```

Magnetization = 0.00 μB/cell

=====

c | LaTi2Rh2 | PBE | optimized geometry

extended XYZ file:
```
10
Lattice="4.3143 0.0000 0.0000 0.0000 4.3143 0.0000 0.0000 0.0000 10.8180" Properties=species:S:1:pos:R:3 pbc="T T T"
La 0.0000 0.0000 0.0000
La 2.1572 2.1572 5.4090
Ti 0.0000 2.1572 2.7045
Ti 0.0000 2.1572 8.1135
Ti 2.1572 0.0000 2.7045
Ti 2.1572 0.0000 8.1135
Rh 0.0000 0.0000 4.0431
Rh 0.0000 0.0000 6.7749
Rh 2.1572 2.1572 1.3659
Rh 2.1572 2.1572 9.4522
```

Magnetization = 0.00 μB/cell

=====

Name the most stable of them. c.